First-principles (GGA-PBE) data for a relaxed Ac2HgP2N6 crystal, as listed in Alexandria.

Properties
Formation energy without anion corrections: -0.4652 eV/atom

```
11
Lattice="-0.682 -2.652 -6.129 4.578 -4.390 -2.291 -6.030 -3.073 2.003" Properties=species:S:1:pos:R:3 pbc="T T T"
Ac -3.734 -6.114 -4.291
Ac 1.599 -4.002 -2.125
Hg -3.356 -2.863 -2.063
P -1.522 -5.817 -0.990
P -0.612 -4.299 -5.427
N -2.554 -6.351 -2.058
N 0.838 -2.132 -0.588
N 0.032 -5.852 -1.148
N -2.973 -7.984 -5.829
N -2.167 -4.264 -5.268
N 0.419 -3.764 -4.358
```

***

First-principles (GGA-PBE) data for a relaxed VCo3 crystal, as listed in Alexandria.

Properties
Formation energy from the elements: -0.6 eV per formula unit

```
12
Lattice="4.985 0.000 0.000 2.493 4.317 0.000 2.493 1.439 6.045" Properties=species:S:1:pos:R:3 pbc="T T T"
Co 1.246 2.159 0.000
Co 3.739 2.159 0.000
Co 2.493 0.000 0.000
Co 4.985 1.473 2.007
Co 3.769 3.581 2.007
Co 6.202 3.581 2.007
Co 3.769 2.176 4.038
Co 4.985 4.283 4.038
Co 6.202 2.176 4.038
V 0.000 0.000 0.000
V 2.493 1.439 2.081
V 7.478 4.317 3.965
```

***

First-principles (GGA-PBE) data for a relaxed Ca2B2PdRh5 crystal, as listed in Alexandria.

Properties
Formation energy from the elements: -4.5 eV per formula unit

```
20
Lattice="2.980 0.000 0.000 0.000 9.892 0.000 0.000 0.000 9.892" Properties=species:S:1:pos:R:3 pbc="T T T"
Ca 0.000 6.713 1.767
Ca 0.000 3.179 8.125
Ca 0.000 1.767 3.179
Ca 0.000 8.125 6.713
B 0.000 1.207 6.153
B 0.000 8.684 3.738
B 0.000 6.153 8.684
B 0.000 3.738 1.207
Pd 0.000 0.000 0.000
Pd 0.000 4.946 4.946
Rh 1.490 2.260 0.680
Rh 1.490 7.631 9.211
Rh 1.490 0.680 7.631
Rh 1.490 7.206 4.265
Rh 1.490 9.211 2.260
Rh 1.490 2.685 5.626
Rh 1.490 5.626 7.206
Rh 1.490 4.265 2.685
Rh 1.490 4.946 0.000
Rh 1.490 0.000 4.946
```

***

First-principles (GGA-PBE) data for a relaxed SrNbSeN2 crystal, as listed in Alexandria.

Properties
Relative energy among the computed polymorphs: 2389 meV/atom
Formation energy without anion corrections: 1.7947 eV/atom

```
5
Lattice="-1.586 3.524 -1.655 -1.997 0.798 3.612 4.494 2.890 1.847" Properties=species:S:1:pos:R:3 pbc="T T T"
Sr 0.000 0.000 0.000
Nb 0.456 3.606 1.902
Se 2.247 1.445 0.923
N -0.999 0.399 1.806
N -0.793 1.762 -0.828
```

***

First-principles (GGA-PBE) data for a relaxed Zr2CuNi6 crystal, as listed in Alexandria.

Properties
Formation energy from the elements: -2.7 eV per formula unit

```
9
Lattice="5.459 -0.020 -0.012 0.034 5.067 0.009 0.034 2.532 4.389" Properties=species:S:1:pos:R:3 pbc="T T T"
Zr 4.667 5.050 2.922
Zr 0.859 2.529 1.464
Cu 0.000 0.000 0.000
Ni 1.834 3.852 3.620
Ni 1.855 6.261 3.624
Ni 1.834 5.058 1.536
Ni 3.693 3.727 0.766
Ni 3.671 1.317 0.762
Ni 3.693 2.520 2.850
```

***

First-principles (GGA-PBE) data for a relaxed K2InReAs crystal, as listed in Alexandria.

Properties
Formation energy from the elements: 3.7 eV per formula unit

```
5
Lattice="6.445 0.000 0.000 0.000 4.703 0.000 0.000 0.000 6.445" Properties=species:S:1:pos:R:3 pbc="T T T"
Re 0.000 0.000 0.000
As 0.000 2.352 0.000
K 0.000 0.000 3.223
K 3.223 0.000 0.000
In 3.223 2.352 3.223
```

***

First-principles (GGA-PBE) data for a relaxed Ta2BeCo crystal, as listed in Alexandria.

Properties
Formation energy from the elements: 0.0 eV per formula unit

```
4
Lattice="-2.761 -3.462 -1.160 3.455 -2.050 2.194 -1.345 0.275 2.377" Properties=species:S:1:pos:R:3 pbc="T T T"
Be -2.053 -1.594 0.609
Co 1.055 -0.888 2.285
Ta 0.000 0.000 0.000
Ta 0.347 -2.756 0.517
```

***

First-principles (GGA-PBE) data for a relaxed CaGaAgGe crystal, as listed in Alexandria.

Properties
Formation energy from the elements: -0.9 eV per formula unit

```
4
Lattice="-3.214 3.680 -0.190 -3.329 0.524 3.543 0.352 3.719 3.154" Properties=species:S:1:pos:R:3 pbc="T T T"
Ge -1.548 1.981 1.627
Ca -3.096 3.961 3.254
Ga -4.643 5.942 4.880
Ag 0.000 0.000 0.000
```